! ErUTcOs | Alexandria | PBE-GGA | relaxed; values from VASP
! Magnetic moment = 1.16 μB per formula unit
! Total DFT energy (no corrections) = -37.7 eV per cell
! Calculated density = 14.81 g/cm³
&SYSTEM
  ibrav = 0, nat = 4, ntyp = 4
/
ATOMIC_SPECIES
Er 167.26 Er.upf
U 238.03 U.upf
Tc 98.00 Tc.upf
Os 190.23 Os.upf
CELL_PARAMETERS angstrom
0.0000 3.3880 3.3880
3.3880 0.0000 3.3880
3.3880 3.3880 0.0000
ATOMIC_POSITIONS crystal
Er 0.0000 0.0000 0.0000
U 0.5000 0.5000 0.5000
Tc 0.7500 0.7500 0.7500
Os 0.2500 0.2500 0.2500



! Er5Te2Os | Alexandria | PBE-GGA | relaxed; values from VASP
! Magnetic moment = 0.00 μB per formula unit
! Total DFT energy (no corrections) = -87.8 eV per cell
! ΔE_f (raw) = -0.449 eV per atom
! Calculated density = 8.56 g/cm³
&SYSTEM
  ibrav = 0, nat = 16, ntyp = 3
/
ATOMIC_SPECIES
Er 167.26 Er.upf
Te 127.60 Te.upf
Os 190.23 Os.upf
CELL_PARAMETERS angstrom
2.8949 -5.9238 0.0000
2.8949 5.9238 0.0000
0.0000 0.0000 14.4997
ATOMIC_POSITIONS crystal
Er 0.0613 0.9387 0.6235
Er 0.0613 0.9387 0.8765
Er 0.3045 0.6955 0.2500
Er 0.3700 0.6300 0.6146
Er 0.3700 0.6300 0.8854
Er 0.6300 0.3700 0.1146
Er 0.6300 0.3700 0.3854
Er 0.6955 0.3045 0.7500
Er 0.9387 0.0613 0.1235
Er 0.9387 0.0613 0.3765
Te 0.1890 0.8110 0.0583
Te 0.1890 0.8110 0.4417
Te 0.8110 0.1890 0.5583
Te 0.8110 0.1890 0.9417
Os 0.2190 0.7810 0.7500
Os 0.7810 0.2190 0.2500



! Er4TeOs | Alexandria | PBE-GGA | relaxed; values from VASP
! Magnetic moment = 0.00 μB per formula unit
! Total DFT energy (no corrections) = -145.6 eV per cell
! ΔE_f (raw) = -0.631 eV per atom
! Energy relative to the lowest polymorph listed for this composition = 0 meV per atom
! Calculated density = 10.50 g/cm³
&SYSTEM
  ibrav = 0, nat = 24, ntyp = 3
/
ATOMIC_SPECIES
Er 167.26 Er.upf
Te 127.60 Te.upf
Os 190.23 Os.upf
CELL_PARAMETERS angstrom
7.9341 0.0000 0.0000
0.0000 4.0694 0.0000
0.0000 0.0000 19.3363
ATOMIC_POSITIONS crystal
Er 0.0004 0.2500 0.0668
Er 0.9996 0.7500 0.9332
Er 0.0549 0.2500 0.7889
Er 0.1327 0.2500 0.3573
Er 0.1396 0.2500 0.5433
Er 0.3604 0.7500 0.0433
Er 0.3673 0.7500 0.8573
Er 0.4451 0.7500 0.2889
Er 0.5004 0.2500 0.4332
Er 0.4996 0.7500 0.5668
Er 0.5549 0.2500 0.7111
Er 0.6327 0.2500 0.1427
Er 0.6396 0.2500 0.9567
Er 0.8604 0.7500 0.4567
Er 0.8673 0.7500 0.6427
Er 0.9451 0.7500 0.2111
Te 0.2503 0.2500 0.1945
Te 0.2497 0.7500 0.6945
Te 0.7503 0.2500 0.3055
Te 0.7497 0.7500 0.8055
Os 0.2479 0.7500 0.4476
Os 0.2521 0.2500 0.9476
Os 0.7479 0.7500 0.0524
Os 0.7521 0.2500 0.5524



! Er4TeOs | Alexandria | PBE-GGA | relaxed; values from VASP
! Magnetic moment = 0.00 μB per formula unit
! Total DFT energy (no corrections) = -69.1 eV per cell
! ΔE_f (raw) = -0.321 eV per atom
! Energy relative to the lowest polymorph listed for this composition = 310 meV per atom
! Calculated density = 7.75 g/cm³
&SYSTEM
  ibrav = 0, nat = 12, ntyp = 3
/
ATOMIC_SPECIES
Er 167.26 Er.upf
Te 127.60 Te.upf
Os 190.23 Os.upf
CELL_PARAMETERS angstrom
9.0210 -2.6650 0.0000
9.0210 2.6650 0.0000
-3.4958 0.0000 8.7960
ATOMIC_POSITIONS crystal
Er 0.0206 0.0206 0.2445
Er 0.1963 0.1963 0.9025
Er 0.2355 0.2355 0.3006
Er 0.3983 0.3983 0.9680
Er 0.6017 0.6017 0.0320
Er 0.7645 0.7645 0.6994
Er 0.8037 0.8037 0.0975
Er 0.9794 0.9794 0.7555
Te 0.1650 0.1650 0.5587
Te 0.8350 0.8350 0.4413
Os 0.0940 0.0940 0.0497
Os 0.9060 0.9060 0.9503



! Er3TeOs | Alexandria | PBE-GGA | relaxed; values from VASP
! Magnetic moment = 0.00 μB per formula unit
! Total DFT energy (no corrections) = -62.1 eV per cell
! ΔE_f (raw) = -0.600 eV per atom
! Calculated density = 10.12 g/cm³
&SYSTEM
  ibrav = 0, nat = 10, ntyp = 3
/
ATOMIC_SPECIES
Er 167.26 Er.upf
Te 127.60 Te.upf
Os 190.23 Os.upf
CELL_PARAMETERS angstrom
6.9022 -2.0173 0.0000
6.9022 2.0173 0.0000
-1.6620 0.0000 9.6578
ATOMIC_POSITIONS crystal
Er 0.0332 0.0332 0.3578
Er 0.2449 0.2449 0.6426
Er 0.3623 0.3623 0.1322
Er 0.6377 0.6377 0.8678
Er 0.7551 0.7551 0.3574
Er 0.9668 0.9668 0.6422
Te 0.1384 0.1384 0.1063
Te 0.8616 0.8616 0.8937
Os 0.3967 0.3967 0.4320
Os 0.6033 0.6033 0.5680



! Er2TeOs | Alexandria | PBE-GGA | relaxed; values from VASP
! Magnetic moment = 0.00 μB per formula unit
! Total DFT energy (no corrections) = -26.0 eV per cell
! ΔE_f (raw) = -0.615 eV per atom
! Calculated density = 11.70 g/cm³
&SYSTEM
  ibrav = 0, nat = 4, ntyp = 3
/
ATOMIC_SPECIES
Er 167.26 Er.upf
Te 127.60 Te.upf
Os 190.23 Os.upf
CELL_PARAMETERS angstrom
3.5280 0.0000 0.0000
0.0000 3.5280 0.0000
0.0000 0.0000 7.4409
ATOMIC_POSITIONS crystal
Er 0.0000 0.0000 0.2191
Er 0.0000 0.0000 0.7809
Te 0.5000 0.5000 0.5000
Os 0.5000 0.5000 0.0000



Q: Look up the calculated density of the first one.
A: 14.81 g/cm³